1.
The following is a DFT calculation (GGA-PBE) of a relaxed structure of LiZn2Bi.

Computed properties:
The value obtained for the total DFT energy (no corrections) is -2.069 eV/atom. The value obtained for the density of states at the Fermi level is 0.44 states/eV/atom. For the energy relative to the elements, the calculation gives 2 kJ per mole of atoms.

Unit cell a=4.2340 b=4.2340 c=10.0314 alpha=77.82 beta=77.82 gamma=90.00
Closest atoms and distances in Å follow each position.
Element x y z (fractional)
1 Bi 0.0000 0.0000 0.0000  4 Zn 2.93, 4 Li 2.99
2 Bi 0.7500 0.2500 0.5000  4 Zn 2.93, 4 Li 2.99
3 Zn 0.1857 0.6250 0.2500  2 Zn 2.66, 2 Li 2.74, 2 Bi 2.93
4 Zn 0.8750 0.8143 0.7500  2 Zn 2.66, 2 Li 2.74, 2 Bi 2.93
5 Zn 0.5643 0.1250 0.2500  2 Zn 2.66, 2 Li 2.74, 2 Bi 2.93
6 Li 0.2500 0.7500 0.5000  4 Zn 2.74, 4 Bi 2.99
7 Zn 0.3750 0.4357 0.7500  2 Zn 2.66, 2 Li 2.74, 2 Bi 2.93
8 Li 0.5000 0.5000 0.0000  4 Zn 2.74, 4 Bi 2.99

=====

2.
The following is a DFT calculation (GGA-PBE) of a relaxed structure of Li5Zn2Bi4.

Computed properties:
The value obtained for the total DFT energy (no corrections) is -2.788 eV/atom. The value obtained for the density of states at the Fermi level is 0.08 states/eV/atom. For the energy relative to the elements, the calculation gives -27 kJ per mole of atoms.

Unit cell a=3.4505 b=9.2565 c=9.4620 alpha=119.30 beta=100.27 gamma=89.99
Closest atoms and distances in Å follow each position.
Element x y z (fractional)
1 Bi 0.7644 0.7675 0.5350  1 Zn 2.86, 6 Li 2.88-2.95
2 Li 0.8234 0.5271 0.6463  4 Bi 2.87-2.95, 2 Zn 2.91-2.92, 2 Li 3.04-3.06
3 Bi 0.2356 0.2325 0.4650  1 Zn 2.86, 6 Li 2.88-2.95
4 Li 0.8233 0.1191 0.6462  4 Bi 2.87-2.95, 2 Zn 2.91-2.92, 2 Li 3.04-3.05
5 Bi 0.0002 0.7286 0.0000  4 Li 2.87-3.05, 4 Zn 3.09-3.10
6 Li 0.1766 0.4729 0.3537  4 Bi 2.87-2.95, 2 Zn 2.91-2.92, 2 Li 3.04-3.06
7 Zn 0.4088 0.4094 0.8191  5 Bi 2.86-3.10, 4 Li 2.91-2.92, 1 Zn 2.92
8 Li 0.5000 0.0000 0.0000  4 Bi 3.05
9 Zn 0.5912 0.5906 0.1809  5 Bi 2.86-3.10, 4 Li 2.91-2.92, 1 Zn 2.92
10 Bi 0.9998 0.2714 0.0000  4 Li 2.87-3.05, 4 Zn 3.09-3.10
11 Li 0.1767 0.8809 0.3538  4 Bi 2.87-2.95, 2 Zn 2.91-2.92, 2 Li 3.04-3.05

=====

3.
The following is a DFT calculation (GGA-PBE) of a relaxed structure of LiZrBi3.

Computed properties:
The value obtained for the total DFT energy (no corrections) is -4.288 eV/atom. The value obtained for the density of states at the Fermi level is 0.83 states/eV/atom. For the energy relative to the elements, the calculation gives 13 kJ per mole of atoms.

Unit cell a=5.7066 b=5.7066 c=5.7066 alpha=90.00 beta=90.00 gamma=90.00
Closest atoms and distances in Å follow each position.
Element x y z (fractional)
1 Li 0.5000 0.5000 0.5000  12 Bi 4.04
2 Bi 0.0000 0.5000 0.0000  2 Zr 2.85
3 Bi 0.5000 0.0000 0.0000  2 Zr 2.85
4 Zr 0.0000 0.0000 0.0000  6 Bi 2.85
5 Bi 0.0000 0.0000 0.5000  2 Zr 2.85

=====

4.
The following is a DFT calculation (GGA-PBE) of a relaxed structure of LiZr2Bi.

Computed properties:
The value obtained for the total DFT energy (no corrections) is -5.899 eV/atom. The value obtained for the density of states at the Fermi level is 0.76 states/eV/atom. For the energy relative to the elements, the calculation gives -17 kJ per mole of atoms.

Unit cell a=4.7994 b=4.2395 c=4.2395 alpha=90.00 beta=90.00 gamma=90.00
Closest atoms and distances in Å follow each position.
Element x y z (fractional)
1 Li 0.5000 0.0000 0.0000  4 Bi 3.00, 8 Zr 3.20
2 Zr 0.0000 0.0000 0.5000  4 Zr 3.00, 4 Li 3.20, 4 Bi 3.20
3 Bi 0.5000 0.5000 0.5000  4 Li 3.00, 8 Zr 3.20
4 Zr 0.0000 0.5000 0.0000  4 Zr 3.00, 4 Li 3.20, 4 Bi 3.20

=====

5.
The following is a DFT calculation (GGA-PBE) of a relaxed structure of LiZr2Bi.

Computed properties:
The value obtained for the total DFT energy (no corrections) is -5.557 eV/atom. The value obtained for the density of states at the Fermi level is 0.81 states/eV/atom. For the energy relative to the elements, the calculation gives 16 kJ per mole of atoms.

Unit cell a=7.9917 b=7.9917 c=6.3328 alpha=50.88 beta=50.88 gamma=90.00
Closest atoms and distances in Å follow each position.
Element x y z (fractional)
1 Zr 0.8750 0.8667 0.7500  2 Zr 2.86, 2 Li 2.87, 2 Bi 2.96
2 Li 0.2500 0.7500 0.5000  2 Bi 2.86, 4 Zr 2.87
3 Bi 0.7500 0.2500 0.5000  2 Li 2.86, 4 Zr 2.96
4 Li 0.5000 0.5000 0.0000  2 Bi 2.86, 4 Zr 2.87
5 Zr 0.1333 0.6250 0.2500  2 Zr 2.86, 2 Li 2.87, 2 Bi 2.96
6 Bi 0.0000 0.0000 0.0000  2 Li 2.86, 4 Zr 2.96
7 Zr 0.3750 0.3833 0.7500  2 Zr 2.86, 2 Li 2.87, 2 Bi 2.96
8 Zr 0.6167 0.1250 0.2500  2 Zr 2.86, 2 Li 2.87, 2 Bi 2.96

=====

6.
The following is a DFT calculation (GGA-PBE) of a relaxed structure of Li2ZrBi.

Computed properties:
The value obtained for the total DFT energy (no corrections) is -4.061 eV/atom. The value obtained for the density of states at the Fermi level is 0.63 states/eV/atom. For the energy relative to the elements, the calculation gives 0 kJ per mole of atoms.

Unit cell a=4.1758 b=4.1758 c=11.3441 alpha=79.39 beta=79.39 gamma=90.00
Closest atoms and distances in Å follow each position.
Element x y z (fractional)
1 Zr 0.5000 0.5000 0.0000  4 Bi 2.95, 4 Li 3.12
2 Li 0.3750 0.3704 0.7500  4 Li 2.93-2.98, 2 Bi 3.10, 2 Zr 3.12
3 Li 0.8750 0.8796 0.7500  4 Li 2.93-2.98, 2 Bi 3.10, 2 Zr 3.12
4 Bi 0.0000 0.0000 0.0000  4 Zr 2.95, 4 Li 3.10
5 Zr 0.2500 0.7500 0.5000  4 Bi 2.95, 4 Li 3.12
6 Bi 0.7500 0.2500 0.5000  4 Zr 2.95, 4 Li 3.10
7 Li 0.6296 0.1250 0.2500  4 Li 2.93-2.98, 2 Bi 3.10, 2 Zr 3.12
8 Li 0.1204 0.6250 0.2500  4 Li 2.93-2.98, 2 Bi 3.10, 2 Zr 3.12

=====

7.
The following is a DFT calculation (GGA-PBE) of a relaxed structure of LiZrBi.

Computed properties:
The value obtained for the total DFT energy (no corrections) is -5.184 eV/atom. The value obtained for the density of states at the Fermi level is 0.41 states/eV/atom. For the energy relative to the elements, the calculation gives -39 kJ per mole of atoms.

Unit cell a=3.9962 b=3.9962 c=8.2304 alpha=90.00 beta=90.00 gamma=90.00
Closest atoms and distances in Å follow each position.
Element x y z (fractional)
1 Zr 0.5000 0.0000 0.1093  5 Bi 3.04-3.08, 4 Zr 3.35
2 Bi 0.0000 0.5000 0.2596  4 Li 2.81, 5 Zr 3.04-3.08
3 Li 0.5000 0.5000 0.5000  4 Bi 2.81, 4 Li 2.83
4 Zr 0.0000 0.5000 0.8907  5 Bi 3.04-3.08, 4 Zr 3.35
5 Li 0.0000 0.0000 0.5000  4 Bi 2.81, 4 Li 2.83
6 Bi 0.5000 0.0000 0.7404  4 Li 2.81, 5 Zr 3.04-3.08

=====

8.
The following is a DFT calculation (GGA-PBE) of a relaxed structure of LuBi5.

Computed properties:
The value obtained for the total DFT energy (no corrections) is -4.129 eV/atom. The value obtained for the density of states at the Fermi level is 0.54 states/eV/atom. For the energy relative to the elements, the calculation gives -14 kJ per mole of atoms.

Unit cell a=4.8570 b=4.6791 c=8.4716 alpha=106.03 beta=90.00 gamma=90.00
Closest atoms and distances in Å follow each position.
Element x y z (fractional)
1 Bi 0.5000 0.1652 0.3305  8 Bi 3.38-3.62, 2 Lu 3.62
2 Bi 0.0000 0.3508 0.7016  2 Lu 3.37, 6 Bi 3.38-3.44
3 Bi 0.5000 0.8348 0.6695  8 Bi 3.38-3.62, 2 Lu 3.62
4 Bi 0.0000 0.6492 0.2984  2 Lu 3.37, 6 Bi 3.38-3.44
5 Bi 0.5000 0.5000 0.0000  4 Lu 3.37, 8 Bi 3.44-3.57
6 Lu 0.0000 0.0000 0.0000  12 Bi 3.37-3.62

=====

9.
The following is a DFT calculation (GGA-PBE) of a relaxed structure of LuBi3.

Computed properties:
The value obtained for the total DFT energy (no corrections) is -4.278 eV/atom. The value obtained for the density of states at the Fermi level is 0.63 states/eV/atom. For the energy relative to the elements, the calculation gives -23 kJ per mole of atoms.

Unit cell a=4.6342 b=4.6342 c=6.4684 alpha=110.99 beta=110.99 gamma=90.00
Closest atoms and distances in Å follow each position.
Element x y z (fractional)
1 Lu 0.0000 0.0000 0.0000  12 Bi 3.28-3.63
2 Bi 0.7500 0.2500 0.5000  8 Bi 3.28-3.63, 4 Lu 3.63
3 Bi 0.2500 0.7500 0.5000  8 Bi 3.28-3.63, 4 Lu 3.63
4 Bi 0.5000 0.5000 0.0000  4 Lu 3.28, 8 Bi 3.63

=====

10.
The following is a DFT calculation (GGA-PBE) of a relaxed structure of Lu3Bi.

Computed properties:
The value obtained for the total DFT energy (no corrections) is -4.611 eV/atom. The value obtained for the density of states at the Fermi level is 1.36 states/eV/atom. For the energy relative to the elements, the calculation gives -24 kJ per mole of atoms.

Unit cell a=4.8045 b=4.8045 c=4.8045 alpha=90.00 beta=90.00 gamma=90.00
Closest atoms and distances in Å follow each position.
Element x y z (fractional)
1 Lu 0.5000 0.0000 0.5000  4 Bi 3.40, 8 Lu 3.40
2 Bi 0.0000 0.0000 0.0000  12 Lu 3.40
3 Lu 0.0000 0.5000 0.5000  4 Bi 3.40, 8 Lu 3.40
4 Lu 0.5000 0.5000 0.0000  4 Bi 3.40, 8 Lu 3.40

=====

11.
The following is a DFT calculation (GGA-PBE) of a relaxed structure of Lu3Bi.

Computed properties:
The value obtained for the total DFT energy (no corrections) is -4.588 eV/atom. The value obtained for the density of states at the Fermi level is 1.03 states/eV/atom. For the energy relative to the elements, the calculation gives -22 kJ per mole of atoms.

Unit cell a=3.6183 b=5.3435 c=5.8658 alpha=90.00 beta=90.00 gamma=90.00
Closest atoms and distances in Å follow each position.
Element x y z (fractional)
1 Lu 0.5000 0.0000 0.4840  4 Bi 3.34, 8 Lu 3.40-3.62
2 Bi 0.0000 0.5000 0.3401  10 Lu 3.34-3.49, 2 Bi 3.62
3 Lu 0.5000 0.5000 0.8496  8 Lu 3.33-3.62, 4 Bi 3.40-3.49
4 Lu 0.0000 0.0000 0.9930  10 Lu 3.33-3.62, 2 Bi 3.36

=====

12.
The following is a DFT calculation (GGA-PBE) of a relaxed structure of LuBi3.

Computed properties:
The value obtained for the total DFT energy (no corrections) is -4.329 eV/atom. The value obtained for the density of states at the Fermi level is 0.05 states/eV/atom. For the energy relative to the elements, the calculation gives -28 kJ per mole of atoms.

Unit cell a=4.5223 b=6.2909 c=4.6382 alpha=90.00 beta=90.00 gamma=90.00
Closest atoms and distances in Å follow each position.
Element x y z (fractional)
1 Bi 0.5000 0.5000 0.7763  6 Bi 3.06-3.43
2 Bi 0.0000 0.5000 0.2211  4 Bi 3.06-3.43, 2 Lu 3.22
3 Bi 0.5000 0.0000 0.5916  4 Lu 3.19-3.29, 2 Bi 3.26
4 Lu 0.0000 0.0000 0.0776  6 Bi 3.19-3.29

=====

- The highest energy relative to the elements belongs to which entry?
  number 5

=====

- What is the total DFT energy (no corrections) in the eleventh record?
  -4.588 eV/atom

=====

- Among the records above, which one has the lowest total DFT energy (no corrections)?
  number 4